1.
Computed, not measured: an optimized crystal structure of HfSiW2Se at the GGA-PBE level of DFT.

Results
Symmetry = No. 123
Uncorrected energy = -7.63 eV/atom
Spin magnetization = 0.00 μB/f.u.
Formation energy from raw total energies = 1325 meV per atom

extended XYZ file:
```
5
Lattice="4.587 0.000 0.000 0.000 4.587 0.000 0.000 0.000 4.798" Properties=species:S:1:pos:R:3 pbc="T T T"
Hf 0.000 0.000 0.000
Si 2.294 2.294 0.000
W 0.000 2.294 2.399
W 2.294 0.000 2.399
Se 2.294 2.294 2.399
```

***

2.
Computed, not measured: an optimized crystal structure of SmHfSe at the GGA-PBE level of DFT.

Results
Symmetry = No. 8
Uncorrected energy = -6.58 eV/atom
Spin magnetization = 0.00 μB/f.u.
Formation energy from raw total energies = -531 meV per atom

extended XYZ file:
```
6
Lattice="5.442 -1.763 0.000 5.442 1.763 0.000 -2.098 0.000 8.407" Properties=species:S:1:pos:R:3 pbc="T T T"
Sm 0.000 0.000 0.000
Sm 5.910 0.000 3.443
Hf 2.907 0.000 1.962
Hf 2.222 0.000 5.624
Se 0.872 0.000 7.795
Se 8.970 0.000 4.007
```

***

3.
Computed, not measured: an optimized crystal structure of Sm2HfSe4 at the GGA-PBE level of DFT.

Results
Symmetry = No. 11
Uncorrected energy = -6.19 eV/atom
Spin magnetization = 0.00 μB/f.u.
Formation energy from raw total energies = -1426 meV per atom

extended XYZ file:
```
14
Lattice="7.160 0.000 0.000 0.000 6.835 0.000 -2.130 0.000 7.653" Properties=species:S:1:pos:R:3 pbc="T T T"
Sm 1.421 1.709 0.405
Sm 0.364 1.709 4.260
Sm 4.666 5.126 3.393
Sm 3.609 5.126 7.248
Hf 1.212 5.126 2.442
Hf 3.818 1.709 5.211
Se -1.521 3.472 5.767
Se -1.521 6.780 5.767
Se 3.099 5.126 0.817
Se 2.037 5.126 4.813
Se 2.993 1.709 2.840
Se 1.931 1.709 6.836
Se 6.551 0.054 1.886
Se 6.551 3.363 1.886
```

***

4.
Computed, not measured: an optimized crystal structure of SmHfSe3 at the GGA-PBE level of DFT.

Results
Symmetry = No. 62
Uncorrected energy = -6.54 eV/atom
Spin magnetization = 0.00 μB/f.u.
Formation energy from raw total energies = -1515 meV per atom

extended XYZ file:
```
20
Lattice="8.649 0.000 0.000 0.000 3.826 0.000 0.000 0.000 14.424" Properties=species:S:1:pos:R:3 pbc="T T T"
Sm 1.226 0.957 2.810
Sm 3.098 2.870 10.022
Sm 5.550 0.957 4.402
Sm 7.423 2.870 11.614
Hf 1.438 2.870 6.647
Hf 2.886 0.957 13.859
Hf 5.762 2.870 0.565
Hf 7.210 0.957 7.777
Se 0.080 2.870 8.934
Se 1.360 0.957 11.600
Se 1.371 2.870 0.567
Se 2.954 0.957 7.779
Se 2.964 2.870 4.388
Se 4.244 0.957 1.722
Se 4.404 2.870 12.702
Se 5.684 0.957 10.036
Se 5.695 2.870 6.645
Se 7.278 0.957 13.857
Se 7.289 2.870 2.824
Se 8.568 0.957 5.490
```

***

5.
Computed, not measured: an optimized crystal structure of Sm2HfSe at the GGA-PBE level of DFT.

Results
Symmetry = No. 166
Uncorrected energy = -5.97 eV/atom
Spin magnetization = 1.30 μB/f.u.
Formation energy from raw total energies = -256 meV per atom

extended XYZ file:
```
4
Lattice="1.822 1.052 10.066 -1.822 1.052 10.066 0.000 -2.104 10.066" Properties=species:S:1:pos:R:3 pbc="T T T"
Sm 0.000 0.000 3.083
Sm 0.000 0.000 27.115
Hf 0.000 0.000 0.000
Se 0.000 0.000 15.099
```

***

6.
Computed, not measured: an optimized crystal structure of Sm2HfTl3Se6 at the GGA-PBE level of DFT.

Results
Symmetry = No. 12
Uncorrected energy = -5.15 eV/atom
Spin magnetization = 0.00 μB/f.u.
Formation energy from raw total energies = -1202 meV per atom

extended XYZ file:
```
12
Lattice="3.569 -6.175 0.000 3.569 6.175 0.000 -2.388 0.000 7.857" Properties=species:S:1:pos:R:3 pbc="T T T"
Sm 3.569 4.126 0.000
Sm 3.569 -4.126 0.000
Hf 3.569 0.000 0.000
Tl -1.194 0.000 3.928
Tl 2.375 2.138 3.928
Tl 2.375 -2.138 3.928
Se 0.076 1.913 6.260
Se 1.362 0.000 1.645
Se 0.076 -1.913 6.260
Se 4.674 1.913 1.596
Se 3.388 0.000 6.212
Se 4.674 -1.913 1.596
```

***

7.
Computed, not measured: an optimized crystal structure of Sm3HfTl3Se8 at the GGA-PBE level of DFT.

Results
Symmetry = No. 166
Uncorrected energy = -5.31 eV/atom
Spin magnetization = 0.00 μB/f.u.
Formation energy from raw total energies = -1369 meV per atom

extended XYZ file:
```
15
Lattice="4.168 2.406 7.858 -4.168 2.406 7.858 0.000 -4.813 7.858" Properties=species:S:1:pos:R:3 pbc="T T T"
Sm -2.084 -1.203 7.858
Sm -2.084 1.203 15.715
Sm 0.000 2.406 7.858
Hf 0.000 0.000 0.000
Tl -4.168 0.000 11.786
Tl -2.084 1.203 3.929
Tl 2.084 1.203 3.929
Se 0.000 -2.574 9.417
Se -2.229 1.287 9.417
Se -2.229 -1.287 14.156
Se 0.000 0.000 6.209
Se 0.000 0.000 17.364
Se 2.229 1.287 9.417
Se 2.229 -1.287 14.156
Se 0.000 2.574 14.156
```

***

8.
Computed, not measured: an optimized crystal structure of Sm2HfTl2Se6 at the GGA-PBE level of DFT.

Results
Symmetry = No. 12
Uncorrected energy = -5.46 eV/atom
Spin magnetization = 0.00 μB/f.u.
Formation energy from raw total energies = -1361 meV per atom

extended XYZ file:
```
11
Lattice="3.583 -6.159 0.000 3.583 6.159 0.000 -2.463 0.000 7.814" Properties=species:S:1:pos:R:3 pbc="T T T"
Sm 3.583 4.097 0.000
Sm 3.583 -4.097 0.000
Hf 3.583 0.000 0.000
Tl 2.352 2.103 3.907
Tl 2.352 -2.103 3.907
Se 0.001 1.905 6.237
Se 1.378 0.000 1.585
Se 0.001 -1.905 6.237
Se 4.703 1.905 1.577
Se 3.326 0.000 6.229
Se 4.703 -1.905 1.577
```